Record 1
Here is a relaxed structure of Fe2NiAg from Alexandria. Energies are from PBE.

theoretical density: 8.7 g cm⁻³
total magnetic moment: 5.8 μB per formula unit
E: -6.1631 eV per atom
ΔH_f (0 K): 226 meV per atom
DOS(E_F): 0.839 states/eV per atom
ΔE to the lowest computed polymorph: 0.16 eV/f.u.

Cell: 8.8837 8.8837 8.8837 Å, 17.13 17.13 17.13°
With the nearest neighbours (Å) after each atom.
Atoms (fractional coordinates):
1 Ag 0.7515 0.7515 0.7515  6 Ag 2.65, 3 Ni 2.78, 3 Fe 2.83
2 Ni 0.5068 0.5068 0.5068  3 Fe 2.47, 6 Ni 2.65
3 Fe 0.2475 0.2475 0.2475  3 Ni 2.47, 9 Fe 2.60-2.65
4 Fe 0.9942 0.9942 0.9942  9 Fe 2.60-2.65, 3 Ag 2.83

=====

Record 2
Here is a relaxed structure of NaTa2F11 from Alexandria. Energies are from PBE.

formation energy from raw total energies: -3178 meV/atom
theoretical density: 4.6 g cm⁻³
total magnetic moment: 0.0 μB per formula unit
E: -6.4361 eV per atom
DOS(E_F): 0.000 states/eV per atom

Cell: 7.9194 8.3390 8.3390 Å, 73.90 61.65 61.65°
With the nearest neighbours (Å) after each atom.
Atoms (fractional coordinates):
1 F 0.2217 0.5510 0.2002  1 Ta 1.92
2 F 0.0270 0.2002 0.5510  1 Ta 1.92
3 F 0.6342 0.2897 0.7103  2 Ta 2.00-2.23
4 Na 0.7500 0.7500 0.7500  4 F 2.35
5 Ta 0.6162 0.6879 0.3121  6 F 1.91-2.10
6 F 0.1345 0.5314 0.7242  1 Ta 1.91
7 F 0.6098 0.7242 0.5314  1 Ta 1.91
8 F 0.1342 0.2103 0.7897  2 Ta 2.00-2.23
9 F 0.0000 0.0000 0.0000  2 Ta 2.10
10 F 0.7783 0.4490 0.7998  1 Ta 1.92
11 F 0.4730 0.9490 0.2998  1 Ta 1.92
12 F 0.9730 0.7998 0.4490  1 Ta 1.92
13 Na 0.2500 0.2500 0.2500  4 F 2.35
14 F 0.5270 0.0510 0.7002  1 Ta 1.92
15 F 0.6345 0.2242 0.0314  1 Ta 1.91
16 Ta 0.8838 0.1879 0.8121  6 F 1.91-2.10
17 F 0.8658 0.7897 0.2103  2 Ta 2.00-2.23
18 F 0.2783 0.2998 0.9490  1 Ta 1.92
19 F 0.7217 0.7002 0.0510  1 Ta 1.92
20 F 0.5000 0.5000 0.5000  2 Ta 2.10
21 F 0.1098 0.0314 0.2242  1 Ta 1.91
22 F 0.3902 0.2758 0.4686  1 Ta 1.91
23 F 0.3658 0.7103 0.2897  2 Ta 2.00-2.23
24 F 0.3655 0.7758 0.9686  1 Ta 1.91
25 F 0.8902 0.9686 0.7758  1 Ta 1.91
26 Ta 0.1162 0.8121 0.1879  6 F 1.91-2.10
27 F 0.8655 0.4686 0.2758  1 Ta 1.91
28 Ta 0.3838 0.3121 0.6879  6 F 1.91-2.10

=====

Record 3
Here is a relaxed structure of U4RuPt from Alexandria. Energies are from PBE.

theoretical density: 17.6 g cm⁻³
total magnetic moment: 0.0 μB per formula unit
E: -10.4044 eV per atom
ΔH_f (0 K): -326 meV per atom
DOS(E_F): 2.426 states/eV per atom

Cell: 4.5905 5.2234 5.7232 Å, 89.32 61.39 78.57°
With the nearest neighbours (Å) after each atom.
Atoms (fractional coordinates):
1 U 0.7567 0.4574 0.3806  2 U 2.57-2.69, 1 Pt 2.85
2 Ru 0.0657 0.9508 0.4740  6 U 2.71-3.00, 1 Pt 2.79
3 U 0.1201 0.4661 0.6759  2 U 2.57-2.60, 1 Ru 2.79, 1 Pt 2.84
4 Pt 0.4121 0.5604 0.0449  1 Ru 2.79, 7 U 2.84-3.10
5 U 0.3848 0.0415 0.8078  2 U 2.60-2.63, 1 Ru 2.71, 1 Pt 2.85
6 U 0.7443 0.0314 0.1280  2 U 2.63-2.69, 1 Ru 2.90

=====

> Which of these has the highest E?

Fe2NiAg

=====

> What is the theoretical density in the third record?

17.6 g cm⁻³

=====

> The highest DOS(E_F) belongs to which entry?

U4RuPt

=====

> total magnetic moment of number 1 (Fe2NiAg)?

5.8 μB per formula unit